(1)
The following is a PBE-GGA calculation of crystalline K3BeIn at its relaxed geometry, from Alexandria.

Structure (CIF):
```
data_K3BeIn
_chemical_formula_sum 'K3 Be1 In1'
_cell_length_a 6.294
_cell_length_b 6.294
_cell_length_c 6.294
_cell_angle_alpha 90.00
_cell_angle_beta 90.00
_cell_angle_gamma 90.00
_symmetry_space_group_name_H-M 'P m -3 m'
_symmetry_Int_Tables_number 221
_symmetry_space_group_name_Hall '-P 4 2 3'
loop_
_atom_site_label
_atom_site_fract_x
_atom_site_fract_y
_atom_site_fract_z
_atom_site_occupancy
K1 0.000 0.000 0.500 1
Be1 0.000 0.000 0.000 1
In1 0.500 0.500 0.500 1
```

Summary:
D(E_F) = 0.6284 states/eV/atom
ΔE to the lowest computed polymorph = 0.0000 eV/atom
Total magnetization = 0.0 μB per cell
Energy of formation = 630 meV/atom

---

(2)
The following is a PBE-GGA calculation of crystalline KBeIn2 at its relaxed geometry, from Alexandria.

Structure (CIF):
```
data_KBeIn2
_chemical_formula_sum 'K2 Be2 In4'
_cell_length_a 7.303
_cell_length_b 7.387
_cell_length_c 5.195
_cell_angle_alpha 90.00
_cell_angle_beta 134.56
_cell_angle_gamma 90.00
_symmetry_space_group_name_H-M 'C 1 2 1'
_symmetry_Int_Tables_number 5
_symmetry_space_group_name_Hall 'C 2y'
loop_
_atom_site_label
_atom_site_fract_x
_atom_site_fract_y
_atom_site_fract_z
_atom_site_occupancy
K1 0.000 0.000 0.000 1
Be1 0.000 0.249 0.500 1
In1 0.000 0.501 0.000 1
In2 0.000 0.750 0.500 1
```

Summary:
D(E_F) = 0.5417 states/eV/atom
Total magnetization = 0.0 μB per cell
Energy of formation = 481 meV/atom

---

(3)
The following is a PBE-GGA calculation of crystalline KBeIn at its relaxed geometry, from Alexandria.

Structure (CIF):
```
data_KBeIn
_chemical_formula_sum 'K2 Be2 In2'
_cell_length_a 4.831
_cell_length_b 4.155
_cell_length_c 8.438
_cell_angle_alpha 90.00
_cell_angle_beta 96.92
_cell_angle_gamma 90.00
_symmetry_space_group_name_H-M 'P 1 21/m 1'
_symmetry_Int_Tables_number 11
_symmetry_space_group_name_Hall '-P 2yb'
loop_
_atom_site_label
_atom_site_fract_x
_atom_site_fract_y
_atom_site_fract_z
_atom_site_occupancy
K1 0.218 0.250 0.338 1
Be1 0.115 0.750 0.018 1
In1 0.349 0.250 0.880 1
```

Summary:
D(E_F) = 0.2129 states/eV/atom
ΔE to the lowest computed polymorph = 0.0000 eV/atom
Total magnetization = 0.0 μB per cell
Energy of formation = 147 meV/atom

---

(4)
The following is a PBE-GGA calculation of crystalline KBe2In2 at its relaxed geometry, from Alexandria.

Structure (CIF):
```
data_KBe2In2
_chemical_formula_sum 'K2 Be4 In4'
_cell_length_a 8.447
_cell_length_b 8.447
_cell_length_c 2.890
_cell_angle_alpha 90.00
_cell_angle_beta 90.00
_cell_angle_gamma 90.00
_symmetry_space_group_name_H-M 'P 4/m b m'
_symmetry_Int_Tables_number 127
_symmetry_space_group_name_Hall '-P 4 2ab'
loop_
_atom_site_label
_atom_site_fract_x
_atom_site_fract_y
_atom_site_fract_z
_atom_site_occupancy
K1 0.000 0.000 0.000 1
Be1 0.139 0.361 0.000 1
In1 0.146 0.646 0.500 1
```

Summary:
D(E_F) = 0.3193 states/eV/atom
ΔE to the lowest computed polymorph = 0.1035 eV/atom
Total magnetization = 0.0 μB per cell
Energy of formation = 479 meV/atom

---

(5)
The following is a PBE-GGA calculation of crystalline K2BeIn2 at its relaxed geometry, from Alexandria.

Structure (CIF):
```
data_K2BeIn2
_chemical_formula_sum 'K4 Be2 In4'
_cell_length_a 7.028
_cell_length_b 7.028
_cell_length_c 6.171
_cell_angle_alpha 90.00
_cell_angle_beta 90.00
_cell_angle_gamma 90.00
_symmetry_space_group_name_H-M 'P 4/m b m'
_symmetry_Int_Tables_number 127
_symmetry_space_group_name_Hall '-P 4 2ab'
loop_
_atom_site_label
_atom_site_fract_x
_atom_site_fract_y
_atom_site_fract_z
_atom_site_occupancy
K1 0.177 0.323 0.000 1
Be1 0.000 0.000 0.500 1
In1 0.157 0.657 0.500 1
```

Summary:
D(E_F) = 0.6987 states/eV/atom
ΔE to the lowest computed polymorph = 0.0000 eV/atom
Total magnetization = 0.0 μB per cell
Energy of formation = 263 meV/atom

---

(6)
The following is a PBE-GGA calculation of crystalline KBeIn2 at its relaxed geometry, from Alexandria.

Structure (CIF):
```
data_KBeIn2
_chemical_formula_sum 'K1 Be1 In2'
_cell_length_a 4.674
_cell_length_b 4.689
_cell_length_c 4.809
_cell_angle_alpha 90.00
_cell_angle_beta 90.00
_cell_angle_gamma 90.00
_symmetry_space_group_name_H-M 'P m m m'
_symmetry_Int_Tables_number 47
_symmetry_space_group_name_Hall '-P 2 2'
loop_
_atom_site_label
_atom_site_fract_x
_atom_site_fract_y
_atom_site_fract_z
_atom_site_occupancy
K1 0.000 0.000 0.000 1
Be1 0.500 0.500 0.000 1
In1 0.000 0.500 0.500 1
In2 0.500 0.000 0.500 1
```

Summary:
D(E_F) = 0.5374 states/eV/atom
Total magnetization = 0.0 μB per cell
Energy of formation = 552 meV/atom

---

(7)
The following is a PBE-GGA calculation of crystalline KBeIn2 at its relaxed geometry, from Alexandria.

Structure (CIF):
```
data_KBeIn2
_chemical_formula_sum 'K1 Be1 In2'
_cell_length_a 3.204
_cell_length_b 4.139
_cell_length_c 8.185
_cell_angle_alpha 90.00
_cell_angle_beta 90.00
_cell_angle_gamma 90.00
_symmetry_space_group_name_H-M 'P m m 2'
_symmetry_Int_Tables_number 25
_symmetry_space_group_name_Hall 'P 2 -2'
loop_
_atom_site_label
_atom_site_fract_x
_atom_site_fract_y
_atom_site_fract_z
_atom_site_occupancy
K1 0.000 0.000 0.000 1
Be1 0.500 0.500 0.351 1
In1 0.000 0.000 0.418 1
In2 0.500 0.500 0.679 1
```

Summary:
D(E_F) = 0.3558 states/eV/atom
Total magnetization = 0.0 μB per cell
Energy of formation = 300 meV/atom

---

(8)
The following is a PBE-GGA calculation of crystalline KBeIn at its relaxed geometry, from Alexandria.

Structure (CIF):
```
data_KBeIn
_chemical_formula_sum 'K4 Be4 In4'
_cell_length_a 7.224
_cell_length_b 4.212
_cell_length_c 12.522
_cell_angle_alpha 90.00
_cell_angle_beta 100.54
_cell_angle_gamma 90.00
_symmetry_space_group_name_H-M 'C 1 m 1'
_symmetry_Int_Tables_number 8
_symmetry_space_group_name_Hall 'C -2y'
loop_
_atom_site_label
_atom_site_fract_x
_atom_site_fract_y
_atom_site_fract_z
_atom_site_occupancy
K1 0.000 0.000 0.000 1
K2 0.039 0.500 0.663 1
Be1 0.091 0.000 0.286 1
Be2 0.246 0.500 0.241 1
In1 0.307 0.500 0.445 1
In2 0.405 0.000 0.220 1
```

Summary:
D(E_F) = 0.1594 states/eV/atom
ΔE to the lowest computed polymorph = 0.0751 eV/atom
Total magnetization = 0.0 μB per cell
Energy of formation = 222 meV/atom

---

(9)
The following is a PBE-GGA calculation of crystalline K2BeIn at its relaxed geometry, from Alexandria.

Structure (CIF):
```
data_K2BeIn
_chemical_formula_sum 'K4 Be2 In2'
_cell_length_a 4.866
_cell_length_b 4.866
_cell_length_c 11.137
_cell_angle_alpha 90.00
_cell_angle_beta 90.00
_cell_angle_gamma 90.00
_symmetry_space_group_name_H-M 'I 4/m m m'
_symmetry_Int_Tables_number 139
_symmetry_space_group_name_Hall '-I 4 2'
loop_
_atom_site_label
_atom_site_fract_x
_atom_site_fract_y
_atom_site_fract_z
_atom_site_occupancy
K1 0.000 0.500 0.250 1
Be1 0.000 0.000 0.000 1
In1 0.000 0.000 0.500 1
```

Summary:
D(E_F) = 0.6383 states/eV/atom
ΔE to the lowest computed polymorph = 0.3808 eV/atom
Total magnetization = 0.4 μB per cell
Energy of formation = 637 meV/atom

---

(10)
The following is a PBE-GGA calculation of crystalline K2BeIn at its relaxed geometry, from Alexandria.

Structure (CIF):
```
data_K2BeIn
_chemical_formula_sum 'K4 Be2 In2'
_cell_length_a 6.478
_cell_length_b 10.403
_cell_length_c 4.657
_cell_angle_alpha 90.00
_cell_angle_beta 106.19
_cell_angle_gamma 90.00
_symmetry_space_group_name_H-M 'C 1 2 1'
_symmetry_Int_Tables_number 5
_symmetry_space_group_name_Hall 'C 2y'
loop_
_atom_site_label
_atom_site_fract_x
_atom_site_fract_y
_atom_site_fract_z
_atom_site_occupancy
K1 0.000 0.000 0.000 1
K2 0.000 0.331 0.500 1
Be1 0.000 0.666 0.500 1
In1 0.000 0.654 0.000 1
```

Summary:
D(E_F) = 0.5789 states/eV/atom
ΔE to the lowest computed polymorph = 0.0133 eV/atom
Total magnetization = 0.0 μB per cell
Energy of formation = 269 meV/atom

---

(11)
The following is a PBE-GGA calculation of crystalline KBeIn2 at its relaxed geometry, from Alexandria.

Structure (CIF):
```
data_KBeIn2
_chemical_formula_sum 'K2 Be2 In4'
_cell_length_a 3.229
_cell_length_b 6.081
_cell_length_c 10.917
_cell_angle_alpha 90.00
_cell_angle_beta 90.00
_cell_angle_gamma 90.00
_symmetry_space_group_name_H-M 'I m m m'
_symmetry_Int_Tables_number 71
_symmetry_space_group_name_Hall '-I 2 2'
loop_
_atom_site_label
_atom_site_fract_x
_atom_site_fract_y
_atom_site_fract_z
_atom_site_occupancy
K1 0.000 0.000 0.000 1
Be1 0.000 0.000 0.500 1
In1 0.000 0.500 0.194 1
```

Summary:
D(E_F) = 0.4931 states/eV/atom
Total magnetization = 0.0 μB per cell
Energy of formation = 341 meV/atom

---

(12)
The following is a PBE-GGA calculation of crystalline K2BeIn at its relaxed geometry, from Alexandria.

Structure (CIF):
```
data_K2BeIn
_chemical_formula_sum 'K4 Be2 In2'
_cell_length_a 4.839
_cell_length_b 5.950
_cell_length_c 10.263
_cell_angle_alpha 90.00
_cell_angle_beta 90.00
_cell_angle_gamma 90.00
_symmetry_space_group_name_H-M 'C m m 2'
_symmetry_Int_Tables_number 35
_symmetry_space_group_name_Hall 'C 2 -2'
loop_
_atom_site_label
_atom_site_fract_x
_atom_site_fract_y
_atom_site_fract_z
_atom_site_occupancy
K1 0.000 0.000 0.000 1
K2 0.000 0.500 0.397 1
Be1 0.000 0.000 0.669 1
In1 0.000 0.500 0.730 1
```

Summary:
D(E_F) = 0.3355 states/eV/atom
ΔE to the lowest computed polymorph = 0.1206 eV/atom
Total magnetization = 0.0 μB per cell
Energy of formation = 377 meV/atom

---

(13)
The following is a PBE-GGA calculation of crystalline K2BeIn at its relaxed geometry, from Alexandria.

Structure (CIF):
```
data_K2BeIn
_chemical_formula_sum 'K2 Be1 In1'
_cell_length_a 3.730
_cell_length_b 3.730
_cell_length_c 10.270
_cell_angle_alpha 90.00
_cell_angle_beta 90.00
_cell_angle_gamma 90.00
_symmetry_space_group_name_H-M 'P 4 m m'
_symmetry_Int_Tables_number 99
_symmetry_space_group_name_Hall 'P 4 -2'
loop_
_atom_site_label
_atom_site_fract_x
_atom_site_fract_y
_atom_site_fract_z
_atom_site_occupancy
K1 0.000 0.000 0.000 1
K2 0.500 0.500 0.395 1
Be1 0.000 0.000 0.665 1
In1 0.500 0.500 0.730 1
```

Summary:
D(E_F) = 0.3495 states/eV/atom
ΔE to the lowest computed polymorph = 0.1263 eV/atom
Total magnetization = 0.0 μB per cell
Energy of formation = 382 meV/atom

---

(14)
The following is a PBE-GGA calculation of crystalline KBeIn2 at its relaxed geometry, from Alexandria.

Structure (CIF):
```
data_KBeIn2
_chemical_formula_sum 'K1 Be1 In2'
_cell_length_a 3.241
_cell_length_b 4.046
_cell_length_c 8.194
_cell_angle_alpha 90.00
_cell_angle_beta 99.94
_cell_angle_gamma 90.00
_symmetry_space_group_name_H-M 'P 1 2/m 1'
_symmetry_Int_Tables_number 10
_symmetry_space_group_name_Hall '-P 2y'
loop_
_atom_site_label
_atom_site_fract_x
_atom_site_fract_y
_atom_site_fract_z
_atom_site_occupancy
K1 0.000 0.000 0.000 1
Be1 0.000 0.000 0.500 1
In1 0.356 0.500 0.677 1
```

Summary:
D(E_F) = 0.3030 states/eV/atom
Total magnetization = 0.0 μB per cell
Energy of formation = 260 meV/atom